No. 1
CeU2Ir: optimized geometry, PBE.

The structure belongs to space group R-3m (No. 166, hexagonal axes); the cell edges are 4.9180, 4.9180 and 11.9904 Å and the angles 90.00°, 90.00° and 120.00°. Symmetry generates all atoms from Ce at (0.0000, 0.0000, 0.0000), U at (0.0000, 0.0000, 0.2500) and Ir at (0.0000, 0.0000, 0.5000).

As for the energy of formation: -0.07 eV/atom. Its crystal system is trigonal. The magnetic moment comes out at 17.266 Bohr magnetons per cell. The calculation puts the density of states at the Fermi level at 10.3 states/eV/f.u.

No. 2
CeUIr2: optimized geometry, PBE.

The structure belongs to space group R-3m (No. 166, hexagonal axes); the cell edges are 3.9688, 3.9688 and 19.8585 Å and the angles 90.00°, 90.00° and 120.00°. Symmetry generates all atoms from Ce at (0.0000, 0.0000, 0.0000), U at (0.0000, 0.0000, 0.5000) and Ir at (0.0000, 0.0000, 0.2442).

As for the energy of formation: -0.58 eV/atom. Its crystal system is trigonal. The magnetic moment comes out at 3.649 Bohr magnetons per cell. The calculation puts the density of states at the Fermi level at 8.5 states/eV/f.u.

No. 3
CeUIr2: optimized geometry, PBE.

The structure belongs to space group Fm-3m (No. 225); the cell edges are 6.913, 6.913 and 6.913 Å and the angles 90.00°, 90.00° and 90.00°. Symmetry generates all atoms from Ce at (0.000, 0.000, 0.000), U at (0.000, 0.000, 0.500) and Ir at (0.250, 0.250, 0.250).

As for the energy of formation: -0.48 eV/atom. Its crystal system is cubic. The magnetic moment comes out at 11.837 Bohr magnetons per cell. The calculation puts the density of states at the Fermi level at 7.0 states/eV/f.u.

No. 4
CeUIr2: optimized geometry, PBE.

The structure belongs to space group P4/mmm (No. 123); the cell edges are 3.418, 3.418 and 7.142 Å and the angles 90.00°, 90.00° and 90.00°. Symmetry generates all atoms from Ce at (0.000, 0.000, 0.000), U at (0.000, 0.000, 0.500) and Ir at (0.500, 0.500, 0.280).

As for the energy of formation: -0.52 eV/atom. Its crystal system is tetragonal. The magnetic moment comes out at 2.441 Bohr magnetons per cell. The calculation puts the density of states at the Fermi level at 8.6 states/eV/f.u.

No. 5
Ce3UIr8: optimized geometry, PBE.

The structure belongs to space group R3m (No. 160, hexagonal axes); the cell edges are 5.3781, 5.3781 and 26.3271 Å and the angles 90.00°, 90.00° and 120.00°. Symmetry generates all atoms from Ce at (0.0000, 0.0000, 0.0000), Ce at (0.0000, 0.0000, 0.1254), Ce at (0.0000, 0.0000, 0.6253), U at (0.0000, 0.0000, 0.5009), Ir at (0.0000, 0.0000, 0.3130), Ir at (0.0000, 0.0000, 0.8131), Ir at (0.0018, 0.5009, 0.0639) and Ir at (0.1672, 0.3344, 0.8954).

As for the energy of formation: -0.72 eV/atom. Its crystal system is trigonal. The magnetic moment comes out at 6.837 Bohr magnetons per cell. The calculation puts the density of states at the Fermi level at 17.8 states/eV/f.u.

No. 6
CeUZnIr: optimized geometry, PBE.

The structure belongs to space group F-43m (No. 216); the cell edges are 6.752, 6.752 and 6.752 Å and the angles 90.00°, 90.00° and 90.00°. Symmetry generates all atoms from Ce at (0.000, 0.000, 0.000), U at (0.250, 0.250, 0.250), Zn at (0.250, 0.250, 0.750) and Ir at (0.000, 0.000, 0.500).

As for the energy of formation: -0.30 eV/atom. Its crystal system is cubic. The magnetic moment comes out at 12.209 Bohr magnetons per cell. The calculation puts the density of states at the Fermi level at 11.5 states/eV/f.u.

No. 7
CeV2Ir: optimized geometry, PBE.

The structure belongs to space group Fm-3m (No. 225); the cell edges are 6.331, 6.331 and 6.331 Å and the angles 90.00°, 90.00° and 90.00°. Symmetry generates all atoms from Ce at (0.000, 0.000, 0.000), V at (0.250, 0.250, 0.250) and Ir at (0.000, 0.000, 0.500).

As for the energy of formation: -0.11 eV/atom. Its crystal system is cubic. The magnetic moment comes out at 0.000 Bohr magnetons per cell. The calculation puts the density of states at the Fermi level at 3.2 states/eV/f.u.

No. 8
CeIrW: optimized geometry, PBE.

The structure belongs to space group C2/m (No. 12); the cell edges are 5.880, 7.574 and 6.182 Å and the angles 90.00°, 100.32° and 90.00°. Symmetry generates all atoms from Ce at (0.235, 0.000, 0.137), Ir at (0.000, 0.307, 0.500) and W at (0.186, 0.000, 0.638).

As for the energy of formation: 0.11 eV/atom. Its crystal system is monoclinic. The magnetic moment comes out at 0.000 Bohr magnetons per cell. The calculation puts the density of states at the Fermi level at 4.9 states/eV/f.u.

- magnetic moment of number 8 (CeIrW)?
  0.000 Bohr magnetons per cell